This record from Alexandria describes crystalline KTaRu2 at its relaxed geometry. The functional is PBE.

Calculated values
Formation enthalpy at 0 K (meV/atom): 714
Mass density (g/cm³): 7.395
SG: Cm, No. 8
Energy above the most stable polymorph in this dataset (eV/f.u.): 1.43
E (eV/atom): -7.1613

a b c (Å): 5.1364 5.1364 6.3207
angles (deg): 78.65 78.65 35.53
With the nearest neighbours (Å) after each atom.
Fractional positions:
Ru 0.9637 0.9637 0.1271  2 Ta 2.45, 2 Ru 2.63
Ru 0.2449 0.2449 0.2390  2 Ta 2.49, 2 Ru 2.63
Ta 0.5473 0.5473 0.3701  4 Ru 2.45-2.49
K 0.7441 0.7441 0.7639  2 K 3.13, 3 Ru 3.39-3.45, 1 Ta 3.45